[1]
PBE-GGA LiCd2Se, relaxed; formation energy from raw total energies = -1.740 eV per formula unit; space group = No. 12; total magnetic moment = 0.000 μB per atom
1.0
6.348 -1.995 0.000
6.348 1.995 0.000
-0.724 0.000 3.497
Li Cd Se
1 2 1
direct
0.000 0.000 0.000 Li
0.308 0.308 0.811 Cd
0.692 0.692 0.189 Cd
0.500 0.500 0.500 Se

***

[2]
PBE-GGA K2CaMg, relaxed; space group = No. 6; total magnetic moment = 0.000 μB per atom; energy of formation = 0.10 eV/atom
1.0
4.195 0.000 0.000
0.000 4.204 0.000
-0.077 0.000 11.142
K Ca Mg
2 1 1
direct
0.000 0.000 0.000 K
0.495 0.500 0.343 K
0.996 0.000 0.626 Ca
0.498 0.500 0.776 Mg

***

[3]
PBE-GGA Mg2CrOs, relaxed; space group = No. 99; total magnetic moment = 0.000 μB per atom; energy of formation = 0.09 eV/atom
1.0
3.008 0.000 0.000
0.000 3.008 0.000
0.000 0.000 7.173
Mg Cr Os
2 1 1
direct
0.000 0.000 0.000 Mg
0.500 0.500 0.319 Mg
0.500 0.500 0.751 Cr
0.000 0.000 0.573 Os

***

[4]
PBE-GGA NaBiTePOs, relaxed; formation energy from raw total energies = -0.283 eV per formula unit; space group = No. 160; total magnetic moment = 0.000 μB per atom
1.0
1.807 1.043 11.027
-1.807 1.043 11.027
0.000 -2.087 11.027
Na Bi Te P Os
1 1 1 1 1
direct
0.000 0.000 0.000 Na
0.252 0.252 0.252 Bi
0.410 0.410 0.410 Te
0.163 0.163 0.163 P
0.802 0.802 0.802 Os

***

[5]
PBE-GGA AlHgGe2O6, relaxed; formation energy from raw total energies = -16.684 eV per formula unit; space group = No. 15; total magnetic moment = 0.000 μB per atom
1.0
5.300 -5.873 0.000
5.300 5.873 0.000
-1.818 0.000 4.829
Al Hg Ge O
2 2 4 12
direct
0.249 0.751 0.750 Al
0.751 0.249 0.250 Al
0.436 0.564 0.250 Hg
0.564 0.436 0.750 Hg
0.128 0.306 0.715 Ge
0.306 0.128 0.215 Ge
0.694 0.872 0.785 Ge
0.872 0.694 0.285 Ge
0.092 0.748 0.449 O
0.176 0.266 0.051 O
0.214 0.536 0.806 O
0.252 0.908 0.051 O
0.266 0.176 0.551 O
0.464 0.786 0.694 O
0.536 0.214 0.306 O
0.734 0.824 0.449 O
0.748 0.092 0.949 O
0.786 0.464 0.194 O
0.824 0.734 0.949 O
0.908 0.252 0.551 O

***

[6]
PBE-GGA Sm8Tm5In, relaxed; space group = No. 5; total magnetic moment = 0.000 μB per atom; energy of formation = 0.11 eV/atom
1.0
7.683 -4.171 0.000
7.683 4.171 0.000
-4.399 0.000 7.154
Sm Tm In
8 5 1
direct
0.115 0.523 0.085 Sm
0.124 0.124 0.180 Sm
0.420 0.227 0.779 Sm
0.477 0.885 0.915 Sm
0.592 0.041 0.427 Sm
0.773 0.580 0.221 Sm
0.876 0.876 0.820 Sm
0.959 0.408 0.573 Sm
0.044 0.956 0.500 Tm
0.272 0.529 0.547 Tm
0.471 0.728 0.453 Tm
0.655 0.251 0.227 Tm
0.749 0.345 0.773 Tm
0.342 0.658 0.000 In

***

[7]
PBE-GGA Sn3Te2Se2, relaxed; formation energy from raw total energies = -1.889 eV per formula unit; space group = No. 12; total magnetic moment = 0.000 μB per atom
1.0
6.633 -2.146 0.000
6.633 2.146 0.000
-4.706 0.000 7.816
Sn Te Se
3 2 2
direct
0.000 0.000 0.000 Sn
0.312 0.312 0.380 Sn
0.688 0.688 0.620 Sn
0.327 0.327 0.959 Te
0.673 0.673 0.041 Te
0.101 0.101 0.372 Se
0.899 0.899 0.628 Se

***

[8]
PBE-GGA Pm3GaSn2, relaxed; space group = No. 15; total magnetic moment = 0.000 μB per atom; energy of formation = -0.58 eV/atom
1.0
8.347 -3.196 0.000
8.347 3.196 0.000
-1.305 0.000 6.204
Pm Ga Sn
6 2 4
direct
0.144 0.856 0.750 Pm
0.219 0.446 0.398 Pm
0.446 0.219 0.898 Pm
0.554 0.781 0.102 Pm
0.781 0.554 0.602 Pm
0.856 0.144 0.250 Pm
0.365 0.635 0.250 Ga
0.635 0.365 0.750 Ga
0.052 0.270 0.057 Sn
0.270 0.052 0.557 Sn
0.730 0.948 0.443 Sn
0.948 0.730 0.943 Sn

***

[9]
PBE-GGA LiHf5N6, relaxed; formation energy from raw total energies = -20.499 eV per formula unit; space group = No. 12; total magnetic moment = 0.000 μB per atom
1.0
2.764 -4.777 0.000
2.764 4.777 0.000
-1.833 0.000 5.189
Li Hf N
1 5 6
direct
0.000 0.000 0.000 Li
0.161 0.839 0.500 Hf
0.334 0.666 0.000 Hf
0.500 0.500 0.500 Hf
0.666 0.334 0.000 Hf
0.839 0.161 0.500 Hf
0.085 0.423 0.255 N
0.253 0.253 0.751 N
0.423 0.085 0.255 N
0.577 0.915 0.745 N
0.747 0.747 0.249 N
0.915 0.577 0.745 N

***

[10]
PBE-GGA AlCdBr2, relaxed; formation energy from raw total energies = -1.005 eV per formula unit; space group = No. 10; total magnetic moment = 0.226 μB per atom
1.0
3.434 0.000 0.000
0.000 3.588 0.000
-0.009 0.000 10.065
Al Cd Br
1 1 2
direct
0.000 0.000 0.000 Al
0.500 0.000 0.500 Cd
0.001 0.500 0.180 Br
0.999 0.500 0.820 Br

***

[11]
PBE-GGA MnHg3Cl9, relaxed; formation energy from raw total energies = -8.723 eV per formula unit; space group = No. 9; total magnetic moment = 0.306 μB per atom
1.0
9.673 -4.483 0.000
9.673 4.483 0.000
-9.280 0.000 10.287
Mn Hg Cl
2 6 18
direct
0.042 0.958 0.500 Mn
0.958 0.042 0.000 Mn
0.173 0.550 0.817 Hg
0.454 0.648 0.289 Hg
0.550 0.173 0.317 Hg
0.575 0.979 0.914 Hg
0.648 0.454 0.789 Hg
0.979 0.575 0.414 Hg
0.085 0.827 0.070 Cl
0.114 0.829 0.850 Cl
0.219 0.294 0.800 Cl
0.238 0.933 0.468 Cl
0.244 0.823 0.643 Cl
0.294 0.219 0.300 Cl
0.354 0.447 0.197 Cl
0.447 0.354 0.697 Cl
0.462 0.983 0.016 Cl
0.584 0.819 0.371 Cl
0.691 0.975 0.811 Cl
0.819 0.584 0.871 Cl
0.823 0.244 0.143 Cl
0.827 0.085 0.570 Cl
0.829 0.114 0.350 Cl
0.933 0.238 0.968 Cl
0.975 0.691 0.311 Cl
0.983 0.462 0.516 Cl

***

[12]
PBE-GGA SiMoPt2, relaxed; formation energy from raw total energies = -1.262 eV per formula unit; space group = No. 10; total magnetic moment = 0.000 μB per atom
1.0
2.842 0.000 0.000
0.000 4.121 0.000
-1.374 0.000 5.150
Si Mo Pt
1 1 2
direct
0.000 0.000 0.000 Si
0.500 0.000 0.500 Mo
0.116 0.500 0.758 Pt
0.884 0.500 0.242 Pt

***

Among the records above, which one has the highest total magnetic moment?
MnHg3Cl9

***

What is the formula in the fifth record?
AlHgGe2O6